Y9AlGe3S21: relaxed, PBE.

a = 16.9287 Å, b = 16.9287 Å, c = 17.7685 Å
α = 90.00°, β = 90.00°, γ = 120.00°
Last column: nearest neighbours and their distance in Å.
Space group R3 (No. 146, hexagonal axes)
Asymmetric unit:
Y1 0.0235 0.8287 0.0000  6 S 2.74-2.89
Y2 0.0250 0.8397 0.6566  6 S 2.66-2.90
Y3 0.0274 0.8323 0.3250  7 S 2.74-2.93
Y4 0.1619 0.4744 0.4885  7 S 2.73-3.01
Y5 0.1650 0.4691 0.1686  7 S 2.75-3.06
Y6 0.1735 0.4815 0.8243  6 S 2.65-2.91
Al1 0.0000 0.0000 0.4313  6 S 2.40-2.50
Al2 0.0000 0.0000 0.9309  6 S 2.41-2.50
Ge1 0.0004 0.3381 0.6351  4 S 2.22-2.25
Ge2 0.9997 0.6700 0.8019  4 S 2.22-2.25
S1 0.0025 0.6642 0.2599  1 Ge 2.22
S2 0.0029 0.3299 0.0931  1 Ge 2.22
S3 0.0116 0.8870 0.8571  1 Al 2.41
S4 0.0130 0.4562 0.2466  1 Ge 2.25
S5 0.0130 0.4631 0.5809  1 Ge 2.24
S6 0.0168 0.8768 0.1786  3 Y 2.65-2.74
S7 0.0187 0.8871 0.5085  1 Al 2.50, 3 Y 2.75-2.77
S8 0.0261 0.4635 0.9169  1 Ge 2.25
S9 0.1260 0.7725 0.0825  1 Ge 2.25
S10 0.1263 0.7831 0.7487  1 Ge 2.25
S11 0.1265 0.0154 0.3586  1 Al 2.40
S12 0.1295 0.0147 0.0090  1 Al 2.50, 3 Y 2.74-2.78
S13 0.1312 0.7749 0.4139  1 Ge 2.24
S14 0.1402 0.0170 0.6758  3 Y 2.66-2.73

Computed properties:
The calculation puts the uncorrected formation energy at -1.543 eV per atom.